Record 1
Compound: CsIrCl6
Source: Alexandria
Functional: PBE-GGA
Structure: relaxed

## Properties
The density comes out at 3430 kg/m3. The value obtained for the volume is 260 Å³/f.u. The polymorph energy (0 for the lowest one) is 0.0 meV per atom.

abc: 7.426 7.426 7.426
angles: 55.66 55.66 55.66
Fractional positions:
Cs  0.000  0.000  0.000
Ir  0.500  0.500  0.500
Cl  0.113  0.587  0.587
Cl  0.413  0.413  0.887
Cl  0.413  0.887  0.413
Cl  0.587  0.113  0.587
Cl  0.587  0.587  0.113
Cl  0.887  0.413  0.413

***

Record 2
Compound: Mg2GeSb2
Source: Alexandria
Functional: PBE-GGA
Structure: relaxed

## Properties
The density comes out at 5052 kg/m3. The value obtained for the volume is 120 Å³/f.u. The polymorph energy (0 for the lowest one) is 66.3 meV per atom.

abc: 7.920 7.920 3.823
angles: 90.00 90.00 90.00
Fractional positions:
Mg  0.133  0.367  0.000
Mg  0.367  0.867  0.000
Mg  0.633  0.133  0.000
Mg  0.867  0.633  0.000
Ge  0.000  0.000  0.000
Ge  0.500  0.500  0.000
Sb  0.172  0.672  0.500
Sb  0.328  0.172  0.500
Sb  0.672  0.828  0.500
Sb  0.828  0.328  0.500

***

One value per record, in order, for DFT total energy: -3.39, -3.17 eV/atom.
One value per record, in order, for energy relative to the elements, uncorrected: -0.795, 0.039 eV per atom.